VASP calculation (SCAN) on a crystal of FeNiPt2 relaxed with PBEsol.

a = 2.6761 Å, b = 3.6326 Å, c = 5.3921 Å
α = 90.00°, β = 90.00°, γ = 90.00°
With the nearest neighbours (Å) after each atom.
Space group Pmmm (No. 47)
Inequivalent atoms, fractional coordinates:
Fe1 0.0000 0.0000 0.0000 [1 per cell]  8 Pt 2.63, 2 Fe 2.68, 2 Ni 2.70
Ni1 0.0000 0.0000 0.5000 [1 per cell]  8 Pt 2.62, 2 Ni 2.68, 2 Fe 2.70
Pt1 0.5000 0.5000 0.2520 [2 per cell]  4 Ni 2.62, 4 Fe 2.63, 4 Pt 2.67-2.72

uncorrected energy: -44.009 eV/atom
formation energy from the elements: -0.3368 eV per atom
Fermi-level density of states: 2.58 states/eV/cell



VASP calculation (SCAN) on a crystal of ZrIr2Se relaxed with PBEsol.

a = 3.9788 Å, b = 3.9788 Å, c = 4.0754 Å
α = 90.00°, β = 90.00°, γ = 90.00°
With the nearest neighbours (Å) after each atom.
Space group P4/mmm (No. 123)
Inequivalent atoms, fractional coordinates:
Zr1 0.0000 0.0000 0.0000 [1 per cell]  4 Se 2.81, 8 Ir 2.85
Ir1 0.0000 0.5000 0.5000 [2 per cell]  4 Ir 2.81, 4 Zr 2.85, 4 Se 2.85
Se1 0.5000 0.5000 0.0000 [1 per cell]  4 Zr 2.81, 8 Ir 2.85

uncorrected energy: -48.523 eV/atom
E_form (uncorrected): -108 kJ/mol of formula units
Fermi-level density of states: 2.59 states/eV/cell



VASP calculation (SCAN) on a crystal of Rb2Te5 relaxed with PBEsol.

a = 11.3976 Å, b = 9.1006 Å, c = 5.7897 Å
α = 90.00°, β = 118.31°, γ = 90.00°
With the nearest neighbours (Å) after each atom.
Space group C2/m (No. 12)
Inequivalent atoms, fractional coordinates:
Rb1 0.1824 0.0000 0.3590 [4 per cell]  9 Te 3.67-3.87
Te1 0.0000 0.5000 0.0000 [2 per cell]  4 Te 3.03
Te2 0.0971 0.2598 0.7707 [8 per cell]  2 Te 2.85-3.03

uncorrected energy: -33.172 eV/atom
E_form (uncorrected): -432 kJ/mol of formula units



VASP calculation (SCAN) on a crystal of HfMnAsBr2 relaxed with PBEsol.

a = 5.1055 Å, b = 5.1055 Å, c = 5.2582 Å
α = 90.00°, β = 90.00°, γ = 90.00°
With the nearest neighbours (Å) after each atom.
Space group P4/mmm (No. 123)
Inequivalent atoms, fractional coordinates:
Hf1 0.0000 0.0000 0.0000 [1 per cell]  4 Br 2.55, 2 As 2.63
Mn1 0.5000 0.5000 0.5000 [1 per cell]  4 As 3.61, 8 Br 3.66
As1 0.0000 0.0000 0.5000 [1 per cell]  2 Hf 2.63
Br1 0.0000 0.5000 0.0000 [2 per cell]  2 Hf 2.55

uncorrected energy: -28.254 eV/atom
E_form (uncorrected): -119 kJ/mol of formula units
Fermi-level density of states: 1.43 states/eV/cell



VASP calculation (SCAN) on a crystal of Ge3IrPd relaxed with PBEsol.

a = 4.6979 Å, b = 4.6979 Å, c = 4.6979 Å
α = 90.00°, β = 90.00°, γ = 90.00°
With the nearest neighbours (Å) after each atom.
Space group Pm-3m (No. 221)
Inequivalent atoms, fractional coordinates:
Ge1 0.0000 0.0000 0.5000 [3 per cell]  2 Ir 2.35
Ir1 0.0000 0.0000 0.0000 [1 per cell]  6 Ge 2.35
Pd1 0.5000 0.5000 0.5000 [1 per cell]  12 Ge 3.32

uncorrected energy: -31.790 eV/atom
formation energy from the elements: 0.4369 eV per atom
Fermi-level density of states: 3.89 states/eV/cell



VASP calculation (SCAN) on a crystal of Mg3ZnSe relaxed with PBEsol.

a = 4.2991 Å, b = 4.2991 Å, c = 12.8153 Å
α = 90.00°, β = 90.00°, γ = 90.00°
With the nearest neighbours (Å) after each atom.
Space group I4mm (No. 107)
Inequivalent atoms, fractional coordinates:
Mg1 0.0000 0.0000 0.0000 [2 per cell]  1 Se 2.63
Mg2 0.0000 0.5000 0.3284 [4 per cell]  2 Se 2.67, 2 Zn 2.90
Zn1 0.0000 0.0000 0.4806 [2 per cell]  8 Mg 2.90-3.05
Se1 0.0000 0.0000 0.2050 [2 per cell]  5 Mg 2.63-2.67

uncorrected energy: -10.017 eV/atom
E_form (uncorrected): -151 kJ/mol of formula units
Fermi-level density of states: 3.27 states/eV/cell